Compound: Sm5ZnPt2
Source: the Alexandria database
Functional: PBE
Structure: optimized geometry

Cell: 6.558 6.558 14.244 Å, 90.00 90.00 128.51°
Fractional coordinates of all 16 atoms:
Sm1 0.066 0.934 0.613
Sm2 0.066 0.934 0.887
Sm3 0.316 0.684 0.250
Sm4 0.355 0.645 0.543
Sm5 0.355 0.645 0.957
Sm6 0.645 0.355 0.043
Sm7 0.645 0.355 0.457
Sm8 0.684 0.316 0.750
Sm9 0.934 0.066 0.113
Sm10 0.934 0.066 0.387
Zn1 0.285 0.715 0.750
Zn2 0.715 0.285 0.250
Pt1 0.170 0.830 0.081
Pt2 0.170 0.830 0.419
Pt3 0.830 0.170 0.581
Pt4 0.830 0.170 0.919

Summary:
Fermi-level density of states (states/eV/cell): 18.06
Energy of formation (eV/f.u.): -3.7
Electronic total energy (eV/cell): -81.3
Magnetic moment (μB/f.u.): 0.00
Polymorph energy (0 for the lowest one) (meV/atom): 131.2

---

Compound: SmZn2Pt5
Source: the Alexandria database
Functional: PBE
Structure: optimized geometry

Cell: 6.520 6.520 6.520 Å, 145.50 113.29 77.32°
Fractional coordinates of all 8 atoms:
Sm1 0.000 0.000 0.000
Zn1 0.254 0.754 0.500
Zn2 0.746 0.246 0.500
Pt1 0.161 0.361 0.800
Pt2 0.439 0.639 0.800
Pt3 0.500 0.000 0.500
Pt4 0.561 0.361 0.200
Pt5 0.839 0.639 0.200

Summary:
Fermi-level density of states (states/eV/cell): 2.82
Energy of formation (eV/f.u.): -4.7
Electronic total energy (eV/cell): -42.1
Magnetic moment (μB/f.u.): 0.00

---

Compound: SmZn2Pt10
Source: the Alexandria database
Functional: PBE
Structure: optimized geometry

Cell: 9.051 6.990 6.863 Å, 81.59 49.81 48.60°
Fractional coordinates of all 13 atoms:
Sm1 0.000 0.000 0.000
Zn1 0.000 0.000 0.500
Zn2 0.500 0.500 0.000
Pt1 0.000 0.500 0.000
Pt2 0.009 0.655 0.345
Pt3 0.283 0.505 0.495
Pt4 0.345 0.991 0.009
Pt5 0.495 0.717 0.283
Pt6 0.500 0.000 0.500
Pt7 0.505 0.283 0.717
Pt8 0.655 0.009 0.991
Pt9 0.717 0.495 0.505
Pt10 0.991 0.345 0.655

Summary:
Fermi-level density of states (states/eV/cell): 9.46
Energy of formation (eV/f.u.): -5.4
Electronic total energy (eV/cell): -73.1
Magnetic moment (μB/f.u.): 0.00

---

Compound: SmZnPt
Source: the Alexandria database
Functional: PBE
Structure: optimized geometry

Cell: 4.433 4.433 3.728 Å, 90.00 90.00 120.00°
Fractional coordinates of all 3 atoms:
Sm1 0.000 0.000 0.000
Zn1 0.333 0.667 0.500
Pt1 0.667 0.333 0.500

Summary:
Fermi-level density of states (states/eV/cell): 2.57
Energy of formation (eV/f.u.): -2.5
Electronic total energy (eV/cell): -14.6
Magnetic moment (μB/f.u.): 0.00

---

- Look up the Fermi-level density of states of the third one.
  9.46 states/eV/cell